(1)
Here is a crystal of AgHg2Te2 relaxed with PBEsol from the Alexandria database. Energies are from meta-GGA SCAN.

N(E_F) = 1.89 states/eV/f.u.
total moment = 0.00 μB/f.u.
V = 282.8 Å³ per cell
formation energy from raw total energies = 0.4378 eV per atom
raw total energy = -480.024 eV/cell

Lattice parameters (Å, degrees): 4.7833 4.7833 12.3597 90.00 90.00 90.00
Closest atoms and distances in Å follow each position.
Space group I4/mmm (No. 139)
Symmetry-distinct sites (fractional):
Ag  0.0000  0.0000  0.0000 x2  8 Hg 3.63, 8 Te 3.91
Hg  0.0000  0.0000  0.3943 x4  1 Hg 2.61
Te  0.0000  0.5000  0.2500 x4  4 Hg 2.98

---

(2)
Here is a crystal of AgHg2Te relaxed with PBEsol from the Alexandria database. Energies are from meta-GGA SCAN.

N(E_F) = 1.79 states/eV/f.u.
total moment = 0.00 μB/f.u.
relative energy among the computed polymorphs = 0 meV/atom
V = 98.7 Å³ per cell
formation energy from raw total energies = 0.0115 eV per atom
raw total energy = -204.904 eV/cell

Lattice parameters (Å, degrees): 4.1156 4.1156 5.8253 90.00 90.00 90.00
Closest atoms and distances in Å follow each position.
Space group P4/mmm (No. 123)
Symmetry-distinct sites (fractional):
Ag  0.0000  0.0000  0.0000 x1  4 Te 2.91, 2 Hg 2.91
Hg  0.0000  0.0000  0.5000 x1  4 Hg 2.91, 2 Ag 2.91
Hg  0.5000  0.5000  0.5000 x1  4 Hg 2.91, 2 Te 2.91
Te  0.5000  0.5000  0.0000 x1  4 Ag 2.91, 2 Hg 2.91

---

(3)
Here is a crystal of Ag2HgTe relaxed with PBEsol from the Alexandria database. Energies are from meta-GGA SCAN.

N(E_F) = 0.89 states/eV/f.u.
total moment = 0.00 μB/f.u.
relative energy among the computed polymorphs = 54 meV/atom
V = 165.8 Å³ per cell
formation energy from raw total energies = 0.1085 eV per atom
raw total energy = -335.434 eV/cell

Lattice parameters (Å, degrees): 4.2539 4.2539 9.1646 90.00 90.00 90.00
Closest atoms and distances in Å follow each position.
Space group I-4m2 (No. 119)
Symmetry-distinct sites (fractional):
Ag  0.0000  0.0000  0.0000 x2  4 Hg 3.01, 4 Te 3.13, 4 Ag 3.13
Ag  0.0000  0.5000  0.2500 x2  4 Te 3.01, 4 Hg 3.13, 4 Ag 3.13
Hg  0.0000  0.0000  0.5000 x2  8 Ag 3.01-3.13, 4 Te 3.13
Te  0.0000  0.5000  0.7500 x2  8 Ag 3.01-3.13, 4 Hg 3.13

---

(4)
Here is a crystal of AgHg2Te relaxed with PBEsol from the Alexandria database. Energies are from meta-GGA SCAN.

N(E_F) = 1.80 states/eV/f.u.
total moment = 0.00 μB/f.u.
relative energy among the computed polymorphs = 84 meV/atom
V = 96.7 Å³ per cell
formation energy from raw total energies = 0.0957 eV per atom
raw total energy = -204.567 eV/cell

Lattice parameters (Å, degrees): 4.0383 4.0487 5.9130 90.00 90.00 90.00
Closest atoms and distances in Å follow each position.
Space group Pmmm (No. 47)
Symmetry-distinct sites (fractional):
Ag  0.0000  0.0000  0.0000 x1  4 Te 2.86
Hg  0.0000  0.5000  0.5000 x1  4 Hg 2.86
Hg  0.5000  0.0000  0.5000 x1  4 Hg 2.86
Te  0.5000  0.5000  0.0000 x1  4 Ag 2.86

---

(5)
Here is a crystal of AgHgTe relaxed with PBEsol from the Alexandria database. Energies are from meta-GGA SCAN.

N(E_F) = 1.96 states/eV/f.u.
total moment = 0.00 μB/f.u.
relative energy among the computed polymorphs = 15 meV/atom
V = 321.9 Å³ per cell
formation energy from raw total energies = 0.1573 eV per atom
raw total energy = -545.249 eV/cell

Lattice parameters (Å, degrees): 6.8532 6.8532 6.8532 90.00 90.00 90.00
Closest atoms and distances in Å follow each position.
Space group F-43m (No. 216)
Symmetry-distinct sites (fractional):
Ag  0.0000  0.0000  0.0000 x4  4 Te 2.97
Hg  0.0000  0.0000  0.5000 x4  4 Te 2.97
Te  0.2500  0.2500  0.7500 x4  4 Hg 2.97, 4 Ag 2.97

---

(6)
Here is a crystal of Ag4HgTe relaxed with PBEsol from the Alexandria database. Energies are from meta-GGA SCAN.

N(E_F) = 2.47 states/eV/f.u.
total moment = 0.00 μB/f.u.
V = 470.7 Å³ per cell
formation energy from raw total energies = 0.1230 eV per atom
raw total energy = -920.590 eV/cell

Lattice parameters (Å, degrees): 7.7791 7.7791 7.7791 90.00 90.00 90.00
Closest atoms and distances in Å follow each position.
Space group F-43m (No. 216)
Symmetry-distinct sites (fractional):
Ag  0.1253  0.1253  0.1253 x16  6 Ag 2.74-2.76
Hg  0.0000  0.0000  0.5000 x4  12 Ag 3.22, 4 Te 3.37
Te  0.2500  0.2500  0.7500 x4  12 Ag 3.23, 4 Hg 3.37

---

(7)
Here is a crystal of Ag2HgTe relaxed with PBEsol from the Alexandria database. Energies are from meta-GGA SCAN.

N(E_F) = 0.95 states/eV/f.u.
total moment = 0.00 μB/f.u.
relative energy among the computed polymorphs = 0 meV/atom
V = 85.6 Å³ per cell
formation energy from raw total energies = 0.0540 eV per atom
raw total energy = -167.935 eV/cell

Lattice parameters (Å, degrees): 3.8767 3.8767 5.6938 90.00 90.00 90.00
Closest atoms and distances in Å follow each position.
Space group P4mm (No. 99)
Symmetry-distinct sites (fractional):
Ag  0.0000  0.0000  0.0000 x1  2 Hg 2.76-2.94, 4 Te 2.97
Ag  0.5000  0.5000  0.2828 x1  2 Te 2.75-2.95, 4 Hg 2.97
Hg  0.0000  0.0000  0.4841 x1  6 Ag 2.76-2.97
Te  0.5000  0.5000  0.8000 x1  6 Ag 2.75-2.97

---

(8)
Here is a crystal of AgHgTe relaxed with PBEsol from the Alexandria database. Energies are from meta-GGA SCAN.

N(E_F) = 0.99 states/eV/f.u.
total moment = 0.00 μB/f.u.
relative energy among the computed polymorphs = 0 meV/atom
V = 138.3 Å³ per cell
formation energy from raw total energies = 0.1418 eV per atom
raw total energy = -272.717 eV/cell

Lattice parameters (Å, degrees): 3.1714 3.1714 13.7535 90.00 90.00 90.00
Closest atoms and distances in Å follow each position.
Space group I4mm (No. 107)
Symmetry-distinct sites (fractional):
Ag  0.0000  0.0000  0.0000 x2  4 Hg 2.96, 4 Te 3.10, 4 Ag 3.17
Hg  0.0000  0.0000  0.6410 x2  4 Ag 2.96, 4 Hg 3.17
Te  0.0000  0.0000  0.3444 x2  4 Ag 3.10, 4 Te 3.17

---

(9)
Here is a crystal of ThAgHg2 relaxed with PBEsol from the Alexandria database. Energies are from meta-GGA SCAN.

N(E_F) = 1.70 states/eV/f.u.
total moment = 0.00 μB/f.u.
formation energy from the elements = -270 meV per atom
V = 363.3 Å³ per cell
raw total energy = -1058.786 eV/cell

Lattice parameters (Å, degrees): 7.1353 7.1353 7.1353 90.00 90.00 90.00
Closest atoms and distances in Å follow each position.
Space group Fm-3m (No. 225)
Symmetry-distinct sites (fractional):
Th  0.0000  0.0000  0.0000 x4  8 Hg 3.09
Ag  0.0000  0.0000  0.5000 x4  8 Hg 3.09
Hg  0.2500  0.2500  0.2500 x8  4 Th 3.09, 4 Ag 3.09

---

(10)
Here is a crystal of TlAg2Hg2 relaxed with PBEsol from the Alexandria database. Energies are from meta-GGA SCAN.

N(E_F) = 1.79 states/eV/f.u.
total moment = 0.00 μB/f.u.
formation energy from the elements = 74 meV per atom
V = 211.7 Å³ per cell
raw total energy = -542.106 eV/cell

Lattice parameters (Å, degrees): 8.3248 8.3248 3.0547 90.00 90.00 90.00
Closest atoms and distances in Å follow each position.
Space group P4/mbm (No. 127)
Symmetry-distinct sites (fractional):
Tl  0.0000  0.0000  0.0000 x2  2 Tl 3.05, 4 Hg 3.27
Ag  0.1689  0.3311  0.5000 x4  6 Hg 2.83-2.93, 2 Ag 3.05
Hg  0.1293  0.6293  0.0000 x4  6 Ag 2.83-2.93, 3 Hg 3.04-3.05

---

(11)
Here is a crystal of TlAg4Hg relaxed with PBEsol from the Alexandria database. Energies are from meta-GGA SCAN.

N(E_F) = 2.50 states/eV/f.u.
total moment = 0.00 μB/f.u.
formation energy from the elements = 117 meV per atom
V = 469.5 Å³ per cell
raw total energy = -1061.155 eV/cell

Lattice parameters (Å, degrees): 7.7724 7.7724 7.7724 90.00 90.00 90.00
Closest atoms and distances in Å follow each position.
Space group F-43m (No. 216)
Symmetry-distinct sites (fractional):
Tl  0.0000  0.0000  0.0000 x4  12 Ag 3.22, 4 Hg 3.37
Ag  0.1248  0.1248  0.3752 x16  6 Ag 2.74-2.75
Hg  0.2500  0.2500  0.7500 x4  12 Ag 3.22, 4 Tl 3.37

---

(12)
Here is a crystal of AgHg2W relaxed with PBEsol from the Alexandria database. Energies are from meta-GGA SCAN.

N(E_F) = 1.83 states/eV/f.u.
total moment = 0.00 μB/f.u.
formation energy from the elements = 676 meV per atom
relative energy among the computed polymorphs = 110 meV/atom
V = 71.9 Å³ per cell
raw total energy = -234.684 eV/cell

Lattice parameters (Å, degrees): 2.8250 4.9171 5.1747 90.00 90.00 90.00
Closest atoms and distances in Å follow each position.
Space group Pmm2 (No. 25)
Symmetry-distinct sites (fractional):
Ag  0.0000  0.0000  0.0000 x1  2 Ag 2.83, 8 Hg 2.85-3.05, 2 W 3.08
Hg  0.5000  0.0000  0.4775 x1  4 Hg 2.83-3.16, 4 Ag 2.85-3.05, 4 W 2.90
Hg  0.5000  0.5000  0.8618 x1  4 Hg 2.83-3.16, 4 Ag 2.92, 4 W 2.93-2.97
W  0.0000  0.5000  0.3574 x1  2 W 2.83, 8 Hg 2.90-2.97, 2 Ag 3.08

---

(13)
Here is a crystal of AgHg2W relaxed with PBEsol from the Alexandria database. Energies are from meta-GGA SCAN.

N(E_F) = 2.09 states/eV/f.u.
total moment = 1.05 μB/f.u.
formation energy from the elements = 987 meV per atom
relative energy among the computed polymorphs = 422 meV/atom
V = 145.0 Å³ per cell
raw total energy = -466.877 eV/cell

Lattice parameters (Å, degrees): 4.0950 4.0950 8.6499 90.00 90.00 90.00
Closest atoms and distances in Å follow each position.
Space group I-4m2 (No. 119)
Symmetry-distinct sites (fractional):
Ag  0.0000  0.0000  0.0000 x2  8 Hg 2.90-2.98, 4 W 2.98
Hg  0.0000  0.0000  0.5000 x2  4 Ag 2.90, 4 Hg 2.98, 4 W 2.98
Hg  0.0000  0.5000  0.2500 x2  4 W 2.90, 4 Ag 2.98, 4 Hg 2.98
W  0.0000  0.5000  0.7500 x2  8 Hg 2.90-2.98, 4 Ag 2.98

---

(14)
Here is a crystal of AgHg2W relaxed with PBEsol from the Alexandria database. Energies are from meta-GGA SCAN.

N(E_F) = 1.68 states/eV/f.u.
total moment = 0.00 μB/f.u.
formation energy from the elements = 566 meV per atom
relative energy among the computed polymorphs = 0 meV/atom
V = 71.0 Å³ per cell
raw total energy = -235.125 eV/cell

Lattice parameters (Å, degrees): 2.8481 2.8481 8.7514 90.00 90.00 90.00
Closest atoms and distances in Å follow each position.
Space group P4/mmm (No. 123)
Symmetry-distinct sites (fractional):
Ag  0.0000  0.0000  0.0000 x1  4 Ag 2.85, 8 Hg 2.98
Hg  0.5000  0.5000  0.2514 x2  4 Hg 2.85, 4 W 2.96, 4 Ag 2.98
W  0.0000  0.0000  0.5000 x1  4 W 2.85, 8 Hg 2.96

---

(15)
Here is a crystal of AgHg2W relaxed with PBEsol from the Alexandria database. Energies are from meta-GGA SCAN.

N(E_F) = 1.64 states/eV/f.u.
total moment = 0.00 μB/f.u.
formation energy from the elements = 643 meV per atom
relative energy among the computed polymorphs = 78 meV/atom
V = 144.1 Å³ per cell
raw total energy = -469.629 eV/cell

Lattice parameters (Å, degrees): 10.9564 2.7713 5.2146 90.00 114.49 90.00
Closest atoms and distances in Å follow each position.
Space group Cm (No. 8)
Symmetry-distinct sites (fractional):
Ag  0.0000  0.0000  0.0000 x2  2 Ag 2.77, 7 Hg 2.87-3.00, 2 W 2.95
Hg  0.2440  0.0000  0.9216 x2  3 Hg 2.77-2.99, 3 Ag 2.87-3.00, 4 W 2.90-3.01
Hg  0.4798  0.0000  0.4825 x2  3 Hg 2.77-2.99, 3 W 2.92-2.93, 4 Ag 2.96
W  0.2339  0.5000  0.4241 x2  2 W 2.77, 7 Hg 2.90-3.01, 2 Ag 2.95

---

(16)
Here is a crystal of YAg2Hg relaxed with PBEsol from the Alexandria database. Energies are from meta-GGA SCAN.

N(E_F) = 1.72 states/eV/f.u.
total moment = 0.00 μB/f.u.
formation energy from the elements = -335 meV per atom
V = 160.6 Å³ per cell
raw total energy = -320.166 eV/cell

Lattice parameters (Å, degrees): 4.5963 4.5963 7.6008 90.00 90.00 90.00
Closest atoms and distances in Å follow each position.
Space group I4/mmm (No. 139)
Symmetry-distinct sites (fractional):
Y  0.0000  0.0000  0.0000 x2  8 Ag 2.98, 4 Hg 3.25
Ag  0.0000  0.5000  0.2500 x4  4 Hg 2.98, 4 Y 2.98, 4 Ag 3.25
Hg  0.0000  0.0000  0.5000 x2  8 Ag 2.98, 4 Y 3.25

---

(17)
Here is a crystal of YAg2Hg relaxed with PBEsol from the Alexandria database. Energies are from meta-GGA SCAN.

N(E_F) = 2.42 states/eV/f.u.
total moment = 0.00 μB/f.u.
formation energy from the elements = -359 meV per atom
V = 322.7 Å³ per cell
raw total energy = -640.713 eV/cell

Lattice parameters (Å, degrees): 6.8590 6.8590 6.8590 90.00 90.00 90.00
Closest atoms and distances in Å follow each position.
Space group F-43m (No. 216)
Symmetry-distinct sites (fractional):
Y  0.0000  0.0000  0.0000 x4  4 Hg 2.97, 4 Ag 2.97
Ag  0.0000  0.0000  0.5000 x4  4 Ag 2.97, 4 Hg 2.97
Ag  0.2500  0.2500  0.7500 x4  4 Y 2.97, 4 Ag 2.97
Hg  0.2500  0.2500  0.2500 x4  4 Y 2.97, 4 Ag 2.97

---

(18)
Here is a crystal of Y2AgHg relaxed with PBEsol from the Alexandria database. Energies are from meta-GGA SCAN.

N(E_F) = 3.54 states/eV/f.u.
total moment = 0.00 μB/f.u.
formation energy from the elements = -367 meV per atom
V = 208.5 Å³ per cell
raw total energy = -313.373 eV/cell

Lattice parameters (Å, degrees): 8.6953 3.7979 6.5376 90.00 105.09 90.00
Closest atoms and distances in Å follow each position.
Space group C2/m (No. 12)
Symmetry-distinct sites (fractional):
Y  0.2453  0.0000  0.2436 x4  3 Ag 2.99-3.05, 3 Hg 3.04-3.06
Ag  0.0000  0.5000  0.0000 x2  6 Y 2.99-3.05
Hg  0.0000  0.0000  0.5000 x2  6 Y 3.04-3.06

---

(19)
Here is a crystal of YAg2Hg relaxed with PBEsol from the Alexandria database. Energies are from meta-GGA SCAN.

N(E_F) = 2.36 states/eV/f.u.
total moment = 0.00 μB/f.u.
formation energy from the elements = -235 meV per atom
V = 83.6 Å³ per cell
raw total energy = -159.683 eV/cell

Lattice parameters (Å, degrees): 4.4045 4.4045 4.3109 90.00 90.00 90.00
Closest atoms and distances in Å follow each position.
Space group P4/mmm (No. 123)
Symmetry-distinct sites (fractional):
Y  0.0000  0.0000  0.0000 x1  8 Ag 3.08, 4 Hg 3.11
Ag  0.0000  0.5000  0.5000 x2  4 Hg 3.08, 4 Y 3.08, 4 Ag 3.11
Hg  0.5000  0.5000  0.0000 x1  8 Ag 3.08, 4 Y 3.11

---

(20)
Here is a crystal of Y2AgHg2 relaxed with PBEsol from the Alexandria database. Energies are from meta-GGA SCAN.

N(E_F) = 3.14 states/eV/f.u.
total moment = 0.00 μB/f.u.
formation energy from the elements = -573 meV per atom
V = 237.9 Å³ per cell
raw total energy = -452.501 eV/cell

Lattice parameters (Å, degrees): 7.7052 7.7052 4.0070 90.00 90.00 90.00
Closest atoms and distances in Å follow each position.
Space group P4/mbm (No. 127)
Symmetry-distinct sites (fractional):
Y  0.1674  0.3326  0.0000 x4  6 Hg 2.94-3.08
Ag  0.0000  0.0000  0.5000 x2  4 Hg 3.00
Hg  0.1354  0.6354  0.5000 x4  6 Y 2.94-3.08, 1 Hg 2.95, 2 Ag 3.00